This record from Alexandria describes a relaxed LiYMo2O8 crystal. The functional is PBE+U.

Its total moment is 0.00 μB per cell. As for the space group: P-1. The energy above the lowest structure with this stoichiometry is 0.0 kJ/mol of formula units. Its density of states at the Fermi level is 0.00 states/eV/f.u. The raw total energy is -7.3189 eV/atom.

POSCAR file:
```
LiYMo2O8
1.0
5.229 0.000 0.000
-2.603 6.290 0.000
-1.080 -3.229 9.943
Li Y Mo O
2 2 4 16
Direct
0.179 0.224 0.374
0.821 0.776 0.626
0.187 0.328 0.061
0.813 0.672 0.939
0.085 0.360 0.705
0.479 0.027 0.817
0.521 0.973 0.183
0.915 0.640 0.295
0.069 0.438 0.265
0.198 0.912 0.337
0.215 0.700 0.085
0.225 0.998 0.931
0.241 0.380 0.566
0.265 0.998 0.669
0.339 0.411 0.863
0.427 0.206 0.207
0.573 0.794 0.793
0.661 0.589 0.137
0.735 0.002 0.331
0.759 0.620 0.434
0.775 0.002 0.069
0.785 0.300 0.915
0.802 0.088 0.663
0.931 0.562 0.735
```